A geometry-optimized Rb2InSn2Br7 structure, computed with GGA-PBE.

## Properties
* symmetry: No. 12

POSCAR file:
```
Rb2InSn2Br7
1.0
5.861 -0.046 -0.047
-0.039 5.861 -0.047
2.741 2.738 14.334
Br Rb In Sn
7 2 1 2
Direct
0.500 0.500 0.000
0.312 0.312 0.406
0.339 0.874 0.196
0.126 0.661 0.804
0.688 0.688 0.594
0.874 0.339 0.196
0.661 0.126 0.804
0.775 0.775 0.357
0.225 0.225 0.643
0.000 0.000 0.000
0.628 0.628 0.795
0.372 0.372 0.205
```



A geometry-optimized Rb3InSn2Br9 structure, computed with GGA-PBE.

## Properties
* DOS at the Fermi energy: 3.21 states/eV/f.u.
* symmetry: No. 164

POSCAR file:
```
Rb3InSn2Br9
1.0
-6.808 4.567 -0.459
1.914 -5.141 -6.109
-5.250 -7.369 4.557
Rb In Br Sn
3 1 9 2
Direct
0.000 0.000 0.000
0.333 0.667 0.699
0.667 0.333 0.301
0.000 0.000 0.500
0.500 0.500 0.000
0.500 0.000 0.000
0.836 0.164 0.671
0.164 0.328 0.329
0.328 0.164 0.671
0.672 0.836 0.329
0.836 0.672 0.671
0.000 0.500 0.000
0.164 0.836 0.329
0.333 0.667 0.175
0.667 0.333 0.825
```



A geometry-optimized RbIn2Sn2Br7 structure, computed with GGA-PBE.

## Properties
* DOS at the Fermi energy: 0.00 states/eV/f.u.
* symmetry: No. 44

POSCAR file:
```
RbIn2Sn2Br7
1.0
5.822 0.000 0.000
0.000 6.575 0.000
-2.911 -3.287 12.517
In Rb Br Sn
2 1 7 2
Direct
0.710 0.295 0.419
0.290 0.876 0.581
0.000 0.058 0.000
0.886 0.317 0.772
0.587 0.982 0.174
0.500 0.385 0.000
0.413 0.807 0.826
0.268 0.393 0.535
0.114 0.545 0.228
0.732 0.858 0.465
0.387 0.379 0.774
0.613 0.604 0.226
```



A geometry-optimized RbIn2SnBr5 structure, computed with GGA-PBE.

## Properties
* DOS at the Fermi energy: 0.00 states/eV/f.u.
* symmetry: No. 36

POSCAR file:
```
RbIn2SnBr5
1.0
4.518 0.000 0.000
-2.259 9.579 0.000
0.000 0.000 17.296
In Br Sn Rb
4 10 2 2
Direct
0.052 0.104 0.654
0.850 0.701 0.751
0.948 0.896 0.154
0.150 0.299 0.251
0.408 0.816 0.028
0.097 0.194 0.070
0.742 0.485 0.924
0.765 0.530 0.161
0.903 0.806 0.570
0.592 0.184 0.528
0.533 0.066 0.266
0.258 0.515 0.424
0.467 0.934 0.766
0.235 0.470 0.661
0.257 0.513 0.040
0.743 0.487 0.540
0.438 0.875 0.431
0.562 0.125 0.931
```



A geometry-optimized Rb4InSn3Br12 structure, computed with GGA-PBE.

## Properties
* DOS at the Fermi energy: 1.14 states/eV/f.u.
* symmetry: No. 229

POSCAR file:
```
Rb4InSn3Br12
1.0
-1.417 9.985 0.055
-8.833 -4.657 1.419
6.363 -2.533 7.403
Br Sn In Rb
12 3 1 4
Direct
0.000 0.249 0.249
0.000 0.751 0.751
0.249 0.000 0.249
0.751 0.751 0.000
0.750 0.250 0.500
0.250 0.500 0.750
0.751 0.000 0.751
0.500 0.750 0.250
0.249 0.249 0.000
0.500 0.250 0.750
0.250 0.750 0.500
0.750 0.500 0.250
0.500 0.000 0.500
0.500 0.500 0.000
0.000 0.500 0.500
0.000 0.000 0.000
0.000 0.000 0.500
0.500 0.500 0.500
0.000 0.500 0.000
0.500 0.000 0.000
```



A geometry-optimized RbInSn2Br6 structure, computed with GGA-PBE.

## Properties
* DOS at the Fermi energy: 0.00 states/eV/f.u.
* symmetry: No. 15

POSCAR file:
```
RbInSn2Br6
1.0
-1.055 8.464 8.171
-4.528 -1.976 8.297
5.754 -0.170 7.753
Br Sn In Rb
12 4 2 2
Direct
0.409 0.834 0.398
0.591 0.166 0.602
0.310 0.197 0.019
0.690 0.803 0.981
0.443 0.391 0.250
0.943 0.250 0.391
0.909 0.398 0.834
0.557 0.609 0.750
0.057 0.750 0.609
0.091 0.602 0.166
0.190 0.981 0.803
0.810 0.019 0.197
0.309 0.693 0.720
0.691 0.307 0.280
0.191 0.280 0.307
0.809 0.720 0.693
0.750 0.685 0.315
0.250 0.315 0.685
0.750 0.177 0.823
0.250 0.823 0.177
```



A geometry-optimized Rb4In3SnBr8 structure, computed with GGA-PBE.

## Properties
* DOS at the Fermi energy: 0.90 states/eV/f.u.
* symmetry: No. 12

POSCAR file:
```
Rb4In3SnBr8
1.0
9.534 0.000 0.000
0.000 9.541 -0.335
-4.767 -5.000 7.322
Rb Br Sn In
4 8 1 3
Direct
0.500 0.000 0.500
0.000 0.000 0.000
0.000 0.000 0.500
0.500 0.000 0.000
0.772 0.279 0.013
0.253 0.259 0.507
0.271 0.761 0.543
0.228 0.721 0.987
0.759 0.721 0.987
0.747 0.741 0.493
0.241 0.279 0.013
0.729 0.239 0.457
0.000 0.500 0.000
0.500 0.500 0.000
0.000 0.500 0.500
0.500 0.500 0.500
```



A geometry-optimized Rb2SrIn2Br6 structure, computed with GGA-PBE.

## Properties
* DOS at the Fermi energy: 0.00 states/eV/f.u.
* symmetry: No. 12

POSCAR file:
```
Rb2SrIn2Br6
1.0
8.491 0.000 0.000
-4.245 5.710 0.142
0.000 -3.078 8.750
Rb Br In Sr
2 6 2 1
Direct
0.694 0.387 0.122
0.306 0.613 0.878
0.670 0.882 0.215
0.765 0.529 0.501
0.330 0.118 0.785
0.235 0.471 0.499
0.212 0.882 0.215
0.788 0.118 0.785
0.893 0.786 0.817
0.107 0.214 0.183
0.500 0.000 0.500
```



A geometry-optimized Rb2SrInBr6 structure, computed with GGA-PBE.

## Properties
* DOS at the Fermi energy: 4.67 states/eV/f.u.
* symmetry: No. 8

POSCAR file:
```
Rb2SrInBr6
1.0
-7.112 1.630 -4.077
3.840 -1.454 -7.280
0.120 -5.824 6.019
Rb In Br Sr
2 1 6 1
Direct
0.796 0.297 0.592
0.295 0.796 0.592
0.998 0.998 0.995
0.750 0.749 0.499
0.239 0.241 0.479
0.735 0.226 0.960
0.226 0.227 0.961
0.226 0.736 0.962
0.735 0.736 0.962
0.498 0.499 0.997
```



A geometry-optimized RbSr2In2Br7 structure, computed with GGA-PBE.

## Properties
* DOS at the Fermi energy: 0.00 states/eV/f.u.
* symmetry: No. 44

POSCAR file:
```
RbSr2In2Br7
1.0
-1.521 -6.005 -0.502
1.614 0.102 -6.112
12.241 -0.426 6.494
Sr Br In Rb
2 7 2 1
Direct
0.387 0.387 0.774
0.613 0.613 0.226
0.891 0.376 0.782
0.271 0.265 0.543
0.729 0.722 0.457
0.109 0.594 0.218
0.500 0.425 0.000
0.617 0.111 0.235
0.383 0.876 0.765
0.741 0.234 0.482
0.259 0.752 0.518
0.000 0.144 0.000
```



A geometry-optimized RbSrInBr4 structure, computed with GGA-PBE.

## Properties
* DOS at the Fermi energy: 0.00 states/eV/f.u.
* symmetry: No. 107

POSCAR file:
```
RbSrInBr4
1.0
-2.272 2.303 -4.982
-5.289 -2.357 1.323
1.637 7.264 6.153
In Sr Br Rb
1 1 4 1
Direct
0.342 0.342 0.684
0.995 0.995 0.991
0.513 0.013 0.026
0.013 0.513 0.026
0.179 0.179 0.358
0.825 0.825 0.650
0.633 0.633 0.266
```



A geometry-optimized Rb2SrInBr5 structure, computed with GGA-PBE.

## Properties
* DOS at the Fermi energy: 0.00 states/eV/f.u.
* symmetry: No. 36

POSCAR file:
```
Rb2SrInBr5
1.0
-0.974 0.417 -4.575
9.274 -4.583 0.018
-7.075 -14.317 0.201
Sr Br Rb In
2 10 4 2
Direct
0.235 0.469 0.033
0.765 0.531 0.533
0.288 0.577 0.409
0.494 0.988 0.764
0.912 0.824 0.574
0.506 0.012 0.264
0.088 0.176 0.074
0.250 0.500 0.661
0.618 0.236 0.489
0.712 0.423 0.909
0.382 0.764 0.989
0.750 0.500 0.161
0.924 0.848 0.149
0.868 0.735 0.798
0.076 0.152 0.649
0.132 0.265 0.298
0.550 0.100 0.947
0.450 0.900 0.447
```



So what do the calculations give for magnetic moment? Going down the list: 0.00; 0.00; 0.00; 0.00; 0.00; 0.00; 1.00; 0.00; 0.00; 0.00; 0.00; 0.00 μB per formula unit.
So what do the calculations give for raw formation energy? Going down the list: -1045.6; -1148.2; -883.1; -912.0; -1155.9; -931.0; -1094.5; -1413.5; -1489.7; -1533.3; -1540.1; -1611.3 meV per atom.